Entry 1:
# ZrCoIr4 | Alexandria via LeMat-Bulk | GGA-PBE | relaxed
data_ZrCoIr4
_chemical_formula_sum 'Zr1 Co1 Ir4'
_cell_length_a 5.175
_cell_length_b 5.175
_cell_length_c 5.175
_cell_angle_alpha 60.00
_cell_angle_beta 60.00
_cell_angle_gamma 60.00
_space_group_name_H-M_alt 'P 1'
_space_group_IT_number 1
_space_group_name_Hall 'P 1'
loop_
_atom_site_label
_atom_site_type_symbol
_atom_site_fract_x
_atom_site_fract_y
_atom_site_fract_z
_atom_site_occupancy
Zr1 Zr 0.000 0.000 0.000 1
Co1 Co 0.750 0.750 0.750 1
Ir1 Ir 0.375 0.375 0.375 1
Ir2 Ir 0.375 0.375 0.874 1
Ir3 Ir 0.375 0.874 0.375 1
Ir4 Ir 0.874 0.375 0.375 1
# ρ	15.57	g/cm3
# SG	F-43m (216)
# final energy	-51.78	eV/cell
# calculated formation energy	-11	kJ/mol of atoms

***

Entry 2:
# ZrCoIr | Alexandria via LeMat-Bulk | GGA-PBE | relaxed
data_ZrCoIr
_chemical_formula_sum 'Zr1 Co1 Ir1'
_cell_length_a 4.908
_cell_length_b 4.908
_cell_length_c 4.908
_cell_angle_alpha 144.39
_cell_angle_beta 135.79
_cell_angle_gamma 58.01
_space_group_name_H-M_alt 'P 1'
_space_group_IT_number 1
_space_group_name_Hall 'P 1'
loop_
_atom_site_label
_atom_site_type_symbol
_atom_site_fract_x
_atom_site_fract_y
_atom_site_fract_z
_atom_site_occupancy
Zr1 Zr 0.000 0.000 0.000 1
Co1 Co 0.678 0.678 0.000 1
Ir1 Ir 0.325 0.325 0.000 1
# ρ	11.95	g/cm3
# SG	Imm2 (44)
# final energy	-25.38	eV/cell
# calculated formation energy	-28	kJ/mol of atoms